(1)
Ac3Tb5Te12: relaxed, GGA-PBE. Values from VASP.

```
&SYSTEM
  ibrav = 0, nat = 80, ntyp = 3
/
ATOMIC_SPECIES
Ac 227.00 Ac.upf
Tb 158.93 Tb.upf
Te 127.60 Te.upf
ATOMIC_POSITIONS crystal
Ac 0.125 0.250 0.375
Ac 0.125 0.375 0.750
Ac 0.250 0.375 0.125
Ac 0.250 0.875 0.625
Ac 0.375 0.125 0.250
Ac 0.375 0.750 0.125
Ac 0.625 0.250 0.875
Ac 0.625 0.875 0.750
Ac 0.750 0.125 0.375
Ac 0.750 0.625 0.875
Ac 0.875 0.625 0.250
Ac 0.875 0.750 0.625
Tb 0.000 0.000 0.000
Tb 0.000 0.000 0.500
Tb 0.000 0.500 0.000
Tb 0.000 0.500 0.500
Tb 0.125 0.750 0.875
Tb 0.125 0.875 0.250
Tb 0.250 0.125 0.875
Tb 0.250 0.625 0.375
Tb 0.375 0.250 0.625
Tb 0.375 0.625 0.750
Tb 0.500 0.000 0.000
Tb 0.500 0.000 0.500
Tb 0.500 0.500 0.000
Tb 0.500 0.500 0.500
Tb 0.625 0.375 0.250
Tb 0.625 0.750 0.375
Tb 0.750 0.375 0.625
Tb 0.750 0.875 0.125
Tb 0.875 0.125 0.750
Tb 0.875 0.250 0.125
Te 0.043 0.217 0.127
Te 0.043 0.325 0.916
Te 0.084 0.627 0.410
Te 0.084 0.957 0.675
Te 0.090 0.717 0.675
Te 0.090 0.873 0.416
Te 0.127 0.043 0.217
Te 0.127 0.584 0.910
Te 0.175 0.217 0.590
Te 0.175 0.457 0.584
Te 0.217 0.127 0.043
Te 0.217 0.590 0.175
Te 0.283 0.325 0.910
Te 0.283 0.457 0.373
Te 0.325 0.910 0.283
Te 0.325 0.916 0.043
Te 0.373 0.283 0.457
Te 0.373 0.590 0.916
Te 0.410 0.084 0.627
Te 0.410 0.825 0.783
Te 0.416 0.090 0.873
Te 0.416 0.825 0.543
Te 0.457 0.373 0.283
Te 0.457 0.584 0.175
Te 0.543 0.416 0.825
Te 0.543 0.627 0.717
Te 0.584 0.175 0.457
Te 0.584 0.910 0.127
Te 0.590 0.175 0.217
Te 0.590 0.916 0.373
Te 0.627 0.410 0.084
Te 0.627 0.717 0.543
Te 0.675 0.084 0.957
Te 0.675 0.090 0.717
Te 0.717 0.543 0.627
Te 0.717 0.675 0.090
Te 0.783 0.410 0.825
Te 0.783 0.873 0.957
Te 0.825 0.543 0.416
Te 0.825 0.783 0.410
Te 0.873 0.416 0.090
Te 0.873 0.957 0.783
Te 0.910 0.127 0.584
Te 0.910 0.283 0.325
Te 0.916 0.043 0.325
Te 0.916 0.373 0.590
Te 0.957 0.675 0.084
Te 0.957 0.783 0.873
CELL_PARAMETERS angstrom
-9.319 9.319 9.319
9.319 -9.319 9.319
9.319 9.319 -9.319
```

**Final energy**: -399.7 eV/cell
**Formation energy without anion corrections**: -26.74 eV per formula unit
**Size of the total moment**: 0.00 μB/f.u.


(2)
Ac3TbTe6: relaxed, GGA-PBE. Values from VASP.

```
&SYSTEM
  ibrav = 0, nat = 20, ntyp = 3
/
ATOMIC_SPECIES
Ac 227.00 Ac.upf
Tb 158.93 Tb.upf
Te 127.60 Te.upf
ATOMIC_POSITIONS crystal
Ac 0.118 0.288 0.629
Ac 0.288 0.629 0.118
Ac 0.371 0.882 0.712
Ac 0.629 0.118 0.288
Ac 0.712 0.371 0.882
Ac 0.882 0.712 0.371
Tb 0.000 0.000 0.000
Tb 0.500 0.500 0.500
Te 0.036 0.935 0.681
Te 0.065 0.319 0.964
Te 0.187 0.562 0.428
Te 0.319 0.964 0.065
Te 0.428 0.187 0.562
Te 0.438 0.572 0.813
Te 0.562 0.428 0.187
Te 0.572 0.813 0.438
Te 0.681 0.036 0.935
Te 0.813 0.438 0.572
Te 0.935 0.681 0.036
Te 0.964 0.065 0.319
CELL_PARAMETERS angstrom
7.186 4.149 4.538
-7.186 4.149 4.538
0.000 -8.298 4.538
```

**Final energy**: -101.6 eV/cell
**Energy above the most stable polymorph in this dataset**: 6 meV/atom
**Formation energy without anion corrections**: -15.00 eV per formula unit
**Size of the total moment**: 0.00 μB/f.u.


(3)
AcTb2Te4: relaxed, GGA-PBE. Values from VASP.

```
&SYSTEM
  ibrav = 0, nat = 14, ntyp = 3
/
ATOMIC_SPECIES
Ac 227.00 Ac.upf
Tb 158.93 Tb.upf
Te 127.60 Te.upf
ATOMIC_POSITIONS crystal
Ac 0.120 0.880 0.750
Ac 0.880 0.120 0.250
Tb 0.370 0.630 0.563
Tb 0.370 0.630 0.937
Tb 0.630 0.370 0.063
Tb 0.630 0.370 0.437
Te 0.000 0.000 0.000
Te 0.000 0.000 0.500
Te 0.271 0.729 0.119
Te 0.271 0.729 0.381
Te 0.449 0.551 0.750
Te 0.551 0.449 0.250
Te 0.729 0.271 0.619
Te 0.729 0.271 0.881
CELL_PARAMETERS angstrom
2.224 -7.208 0.000
2.224 7.208 0.000
0.000 0.000 15.133
```

**Final energy**: -72.3 eV/cell
**Formation energy without anion corrections**: -10.20 eV per formula unit
**Size of the total moment**: 0.00 μB/f.u.


(4)
AcTbTe2: relaxed, GGA-PBE. Values from VASP.

```
&SYSTEM
  ibrav = 0, nat = 4, ntyp = 3
/
ATOMIC_SPECIES
Ac 227.00 Ac.upf
Tb 158.93 Tb.upf
Te 127.60 Te.upf
ATOMIC_POSITIONS crystal
Ac 0.000 0.000 0.000
Tb 0.500 0.500 0.500
Te 0.250 0.250 0.250
Te 0.750 0.750 0.750
CELL_PARAMETERS angstrom
0.000 3.934 3.934
3.934 0.000 3.934
3.934 3.934 0.000
```

**Final energy**: -20.0 eV/cell
**Energy above the most stable polymorph in this dataset**: 141 meV/atom
**Formation energy without anion corrections**: -5.03 eV per formula unit
**Size of the total moment**: 0.01 μB/f.u.